# 1
16
Lattice="1.5680 -5.4600 0.0000 1.5680 5.4600 0.0000 0.0000 0.0000 10.8655" Properties=species:S:1:pos:R:3 comment="CeMnNb2N4 | the Alexandria database | PBE-GGA | relaxed" sg="Cmcm (63)" crystal_system=orthorhombic e_form_raw_mev_per_atom=-1027 pbc="T T T"
Ce 1.5680 4.3236 8.1492
Ce 1.5680 -4.3236 2.7164
Mn 1.5680 3.7289 2.7164
Mn 1.5680 -3.7289 8.1492
Nb 1.5680 1.4460 6.0373
Nb 1.5680 1.4460 10.2611
Nb 1.5680 -1.4460 0.6045
Nb 1.5680 -1.4460 4.8283
N 0.0000 0.0000 0.0000
N 0.0000 0.0000 5.4328
N 1.5680 2.4862 1.2570
N 1.5680 2.4862 4.1757
N 1.5680 0.6318 8.1492
N 1.5680 -0.6318 2.7164
N 1.5680 -2.4862 6.6898
N 1.5680 -2.4862 9.6085

# 2
16
Lattice="1.7373 -5.8273 0.0000 1.7373 5.8273 0.0000 0.0000 0.0000 12.1796" Properties=species:S:1:pos:R:3 comment="CeNd2MnN4 | the Alexandria database | PBE-GGA | relaxed" sg="Cmcm (63)" crystal_system=orthorhombic e_form_raw_mev_per_atom=-1009 pbc="T T T"
Ce 1.7373 4.6195 9.1347
Ce 1.7373 -4.6195 3.0449
Nd 1.7373 1.5343 6.6667
Nd 1.7373 1.5343 11.6028
Nd 1.7373 -1.5343 0.5769
Nd 1.7373 -1.5343 5.5130
Mn 1.7373 3.8853 3.0449
Mn 1.7373 -3.8853 9.1347
N 0.0000 0.0000 0.0000
N 0.0000 0.0000 6.0898
N 1.7373 2.5929 1.6775
N 1.7373 2.5929 4.4123
N 1.7373 0.8103 9.1347
N 1.7373 -0.8103 3.0449
N 1.7373 -2.5929 7.7673
N 1.7373 -2.5929 10.5021

# 3
18
Lattice="-3.3038 3.3038 5.5827 3.3038 -3.3038 5.5827 3.3038 3.3038 -5.5827" Properties=species:S:1:pos:R:3 comment="Ce2NdMnN5 | the Alexandria database | PBE-GGA | relaxed" sg="I4/mcm (140)" crystal_system=tetragonal e_form_raw_mev_per_atom=-1153 pbc="T T T"
Ce 4.4563 1.1525 0.0000
Ce 1.1525 2.1514 0.0000
Ce 2.1514 1.1525 5.5827
Ce -1.1525 2.1514 5.5827
Nd 0.0000 0.0000 2.7914
Nd 0.0000 0.0000 8.3741
Mn 3.3038 0.0000 2.7914
Mn 0.0000 3.3038 2.7914
N 0.0000 0.0000 0.0000
N 4.2568 -0.9530 1.6218
N 2.3509 -0.9530 3.9609
N 2.3509 0.9530 1.6218
N 4.2568 0.9530 3.9609
N 0.0000 0.0000 5.5827
N -0.9530 2.3509 1.6218
N 0.9530 2.3509 3.9609
N 0.9530 4.2568 1.6218
N -0.9530 4.2568 3.9609

# 4
16
Lattice="1.6557 -5.6783 0.0000 1.6557 5.6783 0.0000 0.0000 0.0000 11.8087" Properties=species:S:1:pos:R:3 comment="Ce2NpMnN4 | the Alexandria database | PBE-GGA | relaxed" sg="Cmcm (63)" crystal_system=orthorhombic e_form_raw_mev_per_atom=-1026 pbc="T T T"
Ce 1.6557 4.1498 6.5499
Ce 1.6557 4.1498 11.1631
Ce 1.6557 -4.1498 0.6456
Ce 1.6557 -4.1498 5.2588
Np 1.6557 1.1858 8.8565
Np 1.6557 -1.1858 2.9522
Mn 1.6557 1.7582 2.9522
Mn 1.6557 -1.7582 8.8565
N 1.6557 5.0872 8.8565
N 1.6557 3.1786 1.6292
N 1.6557 3.1786 4.2751
N 1.6557 0.0000 0.0000
N 1.6557 0.0000 5.9044
N 1.6557 -3.1786 7.5336
N 1.6557 -3.1786 10.1795
N 1.6557 -5.0872 2.9522

# 5
18
Lattice="6.4352 0.0000 0.0000 0.0000 6.4352 0.0000 0.0000 0.0000 5.7017" Properties=species:S:1:pos:R:3 comment="Ce2NpMnN5 | the Alexandria database | PBE-GGA | relaxed" sg="P4/mbm (127)" crystal_system=tetragonal e_form_raw_mev_per_atom=-842 pbc="T T T"
Ce 1.0651 2.1525 0.0000
Ce 2.1525 5.3701 0.0000
Ce 4.2827 1.0651 0.0000
Ce 5.3701 4.2827 0.0000
Np 0.0000 0.0000 2.8508
Np 3.2176 3.2176 2.8508
Mn 0.0000 3.2176 2.8508
Mn 3.2176 0.0000 2.8508
N 0.0000 0.0000 0.0000
N 0.9943 4.2119 1.5952
N 0.9943 4.2119 4.1065
N 2.2233 0.9943 1.5952
N 2.2233 0.9943 4.1065
N 3.2176 3.2176 0.0000
N 4.2119 5.4409 1.5952
N 4.2119 5.4409 4.1065
N 5.4409 2.2233 1.5952
N 5.4409 2.2233 4.1065

# 6
18
Lattice="6.3718 0.0000 0.0000 0.0000 6.3718 0.0000 0.0000 0.0000 5.5465" Properties=species:S:1:pos:R:3 comment="CeNp2MnN5 | the Alexandria database | PBE-GGA | relaxed" sg="P4/mbm (127)" crystal_system=tetragonal e_form_raw_mev_per_atom=-1011 pbc="T T T"
Ce 0.0000 0.0000 0.0000
Ce 3.1859 3.1859 0.0000
Np 1.0724 2.1135 2.7733
Np 2.1135 5.2994 2.7733
Np 4.2583 1.0724 2.7733
Np 5.2994 4.2583 2.7733
Mn 0.0000 3.1859 0.0000
Mn 3.1859 0.0000 0.0000
N 0.0000 0.0000 2.7733
N 0.9783 4.1642 1.3194
N 0.9783 4.1642 4.2271
N 2.2076 0.9783 1.3194
N 2.2076 0.9783 4.2271
N 3.1859 3.1859 2.7733
N 4.1642 5.3935 1.3194
N 4.1642 5.3935 4.2271
N 5.3935 2.2076 1.3194
N 5.3935 2.2076 4.2271

# 7
16
Lattice="1.6842 -5.6883 0.0000 1.6842 5.6883 0.0000 0.0000 0.0000 11.3458" Properties=species:S:1:pos:R:3 comment="CeNp2MnN4 | the Alexandria database | PBE-GGA | relaxed" sg="Cmcm (63)" crystal_system=orthorhombic e_form_raw_mev_per_atom=-1082 pbc="T T T"
Ce 1.6842 4.5113 8.5094
Ce 1.6842 -4.5113 2.8365
Np 1.6842 1.4918 6.2935
Np 1.6842 1.4918 10.7253
Np 1.6842 -1.4918 0.6206
Np 1.6842 -1.4918 5.0523
Mn 1.6842 3.8815 2.8365
Mn 1.6842 -3.8815 8.5094
N 0.0000 0.0000 0.0000
N 0.0000 0.0000 5.6729
N 1.6842 2.6170 1.3399
N 1.6842 2.6170 4.3331
N 1.6842 0.6502 8.5094
N 1.6842 -0.6502 2.8365
N 1.6842 -2.6170 7.0128
N 1.6842 -2.6170 10.0060

# 8
14
Lattice="2.6079 -6.1199 0.0000 2.6079 6.1199 0.0000 0.0000 0.0000 5.2187" Properties=species:S:1:pos:R:3 comment="CeNpMnN4 | the Alexandria database | PBE-GGA | relaxed" sg="Cmcm (63)" crystal_system=orthorhombic e_form_raw_mev_per_atom=-922 pbc="T T T"
Ce 2.6079 4.7958 3.9140
Ce 2.6079 -4.7958 1.3047
Np 2.6079 1.3416 3.9140
Np 2.6079 -1.3416 1.3047
Mn 2.6079 3.2436 1.3047
Mn 2.6079 -3.2436 3.9140
N 1.3040 3.0600 0.0000
N 1.3040 3.0600 2.6093
N 2.6079 5.1484 1.3047
N 2.6079 0.7490 1.3047
N 1.3040 -3.0600 0.0000
N 1.3040 -3.0600 2.6093
N 2.6079 -0.7490 3.9140
N 2.6079 -5.1484 3.9140